A relaxed structure of TaTe2As, computed with GGA-PBE.

Structure (POSCAR):
```
TaTe2As
1.0
3.4278 0.0000 0.0000
0.0000 4.8297 0.0000
0.0000 0.0000 5.3201
Ta Te As
1 2 1
direct
0.0000 0.0000 0.0000
0.0000 0.5000 0.5000
0.5000 0.5000 0.0000
0.5000 0.0000 0.5000
```

The value obtained for the electronic total energy is -5.12 eV per atom. For the energy relative to the elements, uncorrected, the calculation gives 0.58 eV/atom.